CaAlW | SCAN | single point on PBEsol structure

The calculation puts the formation energy from the elements at 1118 meV/atom. The final energy is -27.917 eV per atom. As for the total magnetization: 2.36 μB per cell.

abc: 4.588 4.588 4.588
angles: 60.00 60.00 60.00
Site moments in Bohr magnetons follow the coordinates.
Positions (direct):
Al1 0.250 0.250 0.250  -0.07
W1 0.500 0.500 0.500  1.79
Ca1 0.000 0.000 0.000  0.06